(1)
Below is a relaxed structure of CsHfPbSe2, with properties calculated at the PBE level.

The structure belongs to space group P4/mmm (No. 123); the cell edges are 5.8624, 5.8624 and 5.5488 Å and the angles 90.00°, 90.00° and 90.00°. The asymmetric unit holds Cs at (0.0000, 0.0000, 0.0000), Hf at (0.5000, 0.5000, 0.0000), Pb at (0.5000, 0.5000, 0.5000) and Se at (0.0000, 0.5000, 0.5000).

The density of states at the Fermi level is 1.5396 states/eV/atom.

=====

(2)
Below is a relaxed structure of CoAs, with properties calculated at the PBE level.

The structure belongs to space group Pnma (No. 62); the cell edges are 5.3072, 3.4796 and 5.8221 Å and the angles 90.00°, 90.00° and 90.00°. The asymmetric unit holds Co at (0.0009, 0.2500, 0.1969) and As at (0.1993, 0.2500, 0.5887).

The formation enthalpy at 0 K is -302 meV per atom. The density of states at the Fermi level is 0.7135 states/eV/atom.

=====

(3)
Below is a relaxed structure of Pm4Co2Sn, with properties calculated at the PBE level.

The structure belongs to space group R-3m (No. 166, hexagonal axes); the cell edges are 4.7895, 4.7895 and 27.7698 Å and the angles 90.00°, 90.00° and 120.00°. The asymmetric unit holds Pm at (0.0000, 0.0000, 0.1116), Pm at (0.0000, 0.0000, 0.2975), Co at (0.0000, 0.0000, 0.4031) and Sn at (0.0000, 0.0000, 0.5000).

The formation enthalpy at 0 K is -152 meV per atom. The density of states at the Fermi level is 0.8016 states/eV/atom.

=====

| no. | size of the total moment (μB per formula unit) | calculated total energy (eV per atom) |
| --- | --- | --- |
| 1 | 0.0 | -3.863 |
| 2 | 0.0 | -6.179 |
| 3 | 0.0 | -5.469 |